# Tm2PaMn

Crystalline Tm2PaMn at its relaxed geometry (GGA-PBE, the Alexandria database).

Cell: 3.1935 3.1935 32.8767 Å, 90.00 90.00 120.00°
Space group R-3m (No. 166, hexagonal axes)
Inequivalent atoms, fractional coordinates:
1 Tm 0.0000 0.0000 0.0969 [6 per cell]
2 Pa 0.0000 0.0000 0.0000 [3 per cell]
3 Mn 0.0000 0.0000 0.5000 [3 per cell]

Computed properties:
**Formation energy**: 0.402 eV per atom
**Total magnetic moment**: 2.80 μB per formula unit